(1)
VASP calculation (PBEsol) on an optimized crystal structure of Li3BN2.

a = 5.1025 Å, b = 6.9846 Å, c = 6.6963 Å
α = 90.00°, β = 112.98°, γ = 90.00°
Last column: nearest neighbours and their distance in Å.
Fractional positions:
Li  0.2396  0.2086  0.3136  4 N 2.06-2.15
Li  0.2396  0.2914  0.8136  4 N 2.06-2.15
Li  0.2509  0.5197  0.5023  2 N 1.97-2.03
Li  0.2509  0.9803  0.0023  2 N 1.97-2.03
Li  0.2516  0.5115  0.1245  3 N 2.00-2.15
Li  0.2516  0.9885  0.6245  3 N 2.00-2.15
Li  0.7484  0.0115  0.3755  3 N 2.00-2.15
Li  0.7484  0.4885  0.8755  3 N 2.00-2.15
Li  0.7491  0.0197  0.9977  2 N 1.97-2.03
Li  0.7491  0.4803  0.4977  2 N 1.97-2.03
Li  0.7604  0.7086  0.1864  4 N 2.06-2.15
Li  0.7604  0.7914  0.6864  4 N 2.06-2.15
B  0.2852  0.6797  0.8237  2 N 1.34
B  0.2852  0.8203  0.3237  2 N 1.34
B  0.7148  0.1797  0.6763  2 N 1.34
B  0.7148  0.3203  0.1763  2 N 1.34
N  0.0625  0.5610  0.7809  1 B 1.34
N  0.0625  0.9390  0.2809  1 B 1.34
N  0.4906  0.2040  0.1347  1 B 1.34
N  0.4906  0.2960  0.6347  1 B 1.34
N  0.5094  0.7040  0.3653  1 B 1.34
N  0.5094  0.7960  0.8653  1 B 1.34
N  0.9375  0.0610  0.7191  1 B 1.34
N  0.9375  0.4390  0.2191  1 B 1.34

Computed properties:
Fermi-level density of states: 0.00 states/eV/cell
E_form (uncorrected): -0.90 eV/atom
Spin magnetization: 0.00 μB per formula unit
Energy: -0.217 hartree per atom
ρ: 1.80 g cm⁻³

(2)
VASP calculation (PBEsol) on an optimized crystal structure of Sr3SiMo.

a = 5.4874 Å, b = 5.4874 Å, c = 5.4874 Å
α = 90.00°, β = 90.00°, γ = 90.00°
Last column: nearest neighbours and their distance in Å.
Fractional positions:
Sr  0.0000  0.0000  0.5000  2 Mo 2.74
Sr  0.0000  0.5000  0.0000  2 Mo 2.74
Sr  0.5000  0.0000  0.0000  2 Mo 2.74
Si  0.5000  0.5000  0.5000  12 Sr 3.88
Mo  0.0000  0.0000  0.0000  6 Sr 2.74

Computed properties:
Fermi-level density of states: 7.17 states/eV/cell
E_form (uncorrected): 1.07 eV/atom
Spin magnetization: 0.06 μB per formula unit
Energy: -0.130 hartree per atom
ρ: 3.89 g cm⁻³

(3)
VASP calculation (PBEsol) on an optimized crystal structure of Li3GaN2.

a = 8.2723 Å, b = 8.2723 Å, c = 8.2723 Å
α = 109.47°, β = 109.47°, γ = 109.47°
Last column: nearest neighbours and their distance in Å.
Fractional positions:
Li  0.0079  0.5321  0.7689  4 N 2.06-2.15, 4 Li 2.29-2.30
Li  0.0242  0.7632  0.0321  4 N 2.06-2.15, 4 Li 2.29-2.30
Li  0.0321  0.0242  0.7632  4 N 2.06-2.15, 4 Li 2.29-2.30
Li  0.2311  0.9921  0.4679  4 N 2.06-2.15, 4 Li 2.29-2.30
Li  0.2368  0.9679  0.9758  4 N 2.06-2.15, 4 Li 2.29-2.30
Li  0.2390  0.7311  0.2632  4 N 2.06-2.15, 4 Li 2.29-2.30
Li  0.2610  0.5242  0.4921  4 N 2.06-2.15, 4 Li 2.29-2.30
Li  0.2632  0.2390  0.7311  4 N 2.06-2.15, 4 Li 2.29-2.30
Li  0.2689  0.7368  0.7610  4 N 2.06-2.15, 4 Li 2.29-2.30
Li  0.4679  0.2311  0.9921  4 N 2.06-2.15, 4 Li 2.29-2.30
Li  0.4758  0.5079  0.7390  4 N 2.06-2.15, 4 Li 2.29-2.30
Li  0.4921  0.2610  0.5242  4 N 2.06-2.15, 4 Li 2.29-2.30
Li  0.5079  0.7390  0.4758  4 N 2.06-2.15, 4 Li 2.29-2.30
Li  0.5242  0.4921  0.2610  4 N 2.06-2.15, 4 Li 2.29-2.30
Li  0.5321  0.7689  0.0079  4 N 2.06-2.15, 4 Li 2.29-2.30
Li  0.7311  0.2632  0.2390  4 N 2.06-2.15, 4 Li 2.29-2.30
Li  0.7368  0.7610  0.2689  4 N 2.06-2.15, 4 Li 2.29-2.30
Li  0.7390  0.4758  0.5079  4 N 2.06-2.15, 4 Li 2.29-2.30
Li  0.7610  0.2689  0.7368  4 N 2.06-2.15, 4 Li 2.29-2.30
Li  0.7632  0.0321  0.0242  4 N 2.06-2.15, 4 Li 2.29-2.30
Li  0.7689  0.0079  0.5321  4 N 2.06-2.15, 4 Li 2.29-2.30
Li  0.9679  0.9758  0.2368  4 N 2.06-2.15, 4 Li 2.29-2.30
Li  0.9758  0.2368  0.9679  4 N 2.06-2.15, 4 Li 2.29-2.30
Li  0.9921  0.4679  0.2311  4 N 2.06-2.15, 4 Li 2.29-2.30
Ga  0.0000  0.2639  0.5000  4 N 1.95-1.99
Ga  0.0000  0.7361  0.5000  4 N 1.95-1.99
Ga  0.2361  0.2361  0.2361  4 N 1.95-1.99
Ga  0.2639  0.5000  0.0000  4 N 1.95-1.99
Ga  0.5000  0.0000  0.2639  4 N 1.95-1.99
Ga  0.5000  0.0000  0.7361  4 N 1.95-1.99
Ga  0.7361  0.5000  0.0000  4 N 1.95-1.99
Ga  0.7639  0.7639  0.7639  4 N 1.95-1.99
N  0.0000  0.0000  0.0000  2 Ga 1.95, 6 Li 2.13
N  0.0000  0.5000  0.5000  2 Ga 1.95, 6 Li 2.13
N  0.0224  0.2724  0.7500  2 Ga 1.99, 6 Li 2.06-2.15
N  0.2276  0.2500  0.4776  2 Ga 1.99, 6 Li 2.06-2.15
N  0.2500  0.4776  0.2276  2 Ga 1.99, 6 Li 2.06-2.15
N  0.2500  0.9776  0.7276  2 Ga 1.99, 6 Li 2.06-2.15
N  0.2724  0.7500  0.0224  2 Ga 1.99, 6 Li 2.06-2.15
N  0.4776  0.2276  0.2500  2 Ga 1.99, 6 Li 2.06-2.15
N  0.5000  0.0000  0.5000  2 Ga 1.95, 6 Li 2.13
N  0.5000  0.5000  0.0000  2 Ga 1.95, 6 Li 2.13
N  0.5224  0.7724  0.7500  2 Ga 1.99, 6 Li 2.06-2.15
N  0.7276  0.2500  0.9776  2 Ga 1.99, 6 Li 2.06-2.15
N  0.7500  0.0224  0.2724  2 Ga 1.99, 6 Li 2.06-2.15
N  0.7500  0.5224  0.7724  2 Ga 1.99, 6 Li 2.06-2.15
N  0.7724  0.7500  0.5224  2 Ga 1.99, 6 Li 2.06-2.15
N  0.9776  0.7276  0.2500  2 Ga 1.99, 6 Li 2.06-2.15

Computed properties:
Fermi-level density of states: 0.00 states/eV/cell
E_form (uncorrected): -0.64 eV/atom
Spin magnetization: 0.00 μB per formula unit
Energy: -0.184 hartree per atom
ρ: 3.61 g cm⁻³

(4)
VASP calculation (PBEsol) on an optimized crystal structure of Ba2Sn3Sb6.

a = 13.3256 Å, b = 4.4329 Å, c = 24.1376 Å
α = 90.00°, β = 90.00°, γ = 90.00°
Last column: nearest neighbours and their distance in Å.
Fractional positions:
Ba  0.0463  0.2500  0.0780  8 Sb 3.51-3.83, 1 Sn 3.63
Ba  0.1266  0.2500  0.3913  9 Sb 3.47-3.76, 1 Sn 3.60
Ba  0.3734  0.7500  0.8913  9 Sb 3.47-3.76, 1 Sn 3.60
Ba  0.4537  0.7500  0.5780  8 Sb 3.51-3.83, 1 Sn 3.63
Ba  0.5463  0.2500  0.4220  8 Sb 3.51-3.83, 1 Sn 3.63
Ba  0.6266  0.2500  0.1087  9 Sb 3.47-3.76, 1 Sn 3.60
Ba  0.8734  0.7500  0.6087  9 Sb 3.47-3.76, 1 Sn 3.60
Ba  0.9537  0.7500  0.9220  8 Sb 3.51-3.83, 1 Sn 3.63
Sn  0.0381  0.2500  0.2504  3 Sb 2.91-2.92
Sn  0.1846  0.7500  0.6006  3 Sb 2.91-2.94
Sn  0.1972  0.2500  0.7379  4 Sb 2.82-2.86
Sn  0.3028  0.7500  0.2379  4 Sb 2.82-2.86
Sn  0.3154  0.2500  0.1006  3 Sb 2.91-2.94
Sn  0.4619  0.7500  0.7504  3 Sb 2.91-2.92
Sn  0.5381  0.2500  0.2496  3 Sb 2.91-2.92
Sn  0.6846  0.7500  0.8994  3 Sb 2.91-2.94
Sn  0.6972  0.2500  0.7621  4 Sb 2.82-2.86
Sn  0.8028  0.7500  0.2621  4 Sb 2.82-2.86
Sn  0.8154  0.2500  0.3994  3 Sb 2.91-2.94
Sn  0.9619  0.7500  0.7496  3 Sb 2.91-2.92
Sb  0.0658  0.2500  0.6463  3 Sn 2.82-2.94
Sb  0.0717  0.7500  0.4976  1 Sn 2.91, 2 Sb 2.93
Sb  0.1154  0.7500  0.1839  3 Sn 2.82-2.92
Sb  0.1521  0.7500  0.8086  3 Sn 2.86-2.91
Sb  0.1638  0.2500  0.9223  2 Sb 2.96
Sb  0.2035  0.7500  0.0003  2 Sb 2.96
Sb  0.2965  0.2500  0.5003  2 Sb 2.96
Sb  0.3362  0.7500  0.4223  2 Sb 2.96
Sb  0.3479  0.2500  0.3086  3 Sn 2.86-2.91
Sb  0.3846  0.2500  0.6839  3 Sn 2.82-2.92
Sb  0.4283  0.2500  0.9976  1 Sn 2.91, 2 Sb 2.93
Sb  0.4342  0.7500  0.1463  3 Sn 2.82-2.94
Sb  0.5658  0.2500  0.8537  3 Sn 2.82-2.94
Sb  0.5717  0.7500  0.0024  1 Sn 2.91, 2 Sb 2.93
Sb  0.6154  0.7500  0.3161  3 Sn 2.82-2.92
Sb  0.6521  0.7500  0.6914  3 Sn 2.86-2.91
Sb  0.6638  0.2500  0.5777  2 Sb 2.96
Sb  0.7035  0.7500  0.4997  2 Sb 2.96
Sb  0.7965  0.2500  0.9997  2 Sb 2.96
Sb  0.8362  0.7500  0.0777  2 Sb 2.96
Sb  0.8479  0.2500  0.1914  3 Sn 2.86-2.91
Sb  0.8846  0.2500  0.8161  3 Sn 2.82-2.92
Sb  0.9283  0.2500  0.5024  1 Sn 2.91, 2 Sb 2.93
Sb  0.9342  0.7500  0.3537  3 Sn 2.82-2.94

Computed properties:
Fermi-level density of states: 3.17 states/eV/cell
E_form (uncorrected): -0.43 eV/atom
Spin magnetization: 0.00 μB per formula unit
Energy: -0.164 hartree per atom
ρ: 6.34 g cm⁻³